Below is Rb2Sr2MoO6 after structural relaxation, with properties calculated at the PBE+U level.

## Properties
Energy ... -5.93 eV/atom

abc: 6.1850 10.4052 6.8419
angles: 90.00 105.76 90.00
With the nearest neighbours (Å) after each atom.
Space group C2/m (No. 12)
Symmetry-distinct sites (fractional):
1 Rb 0.0000 0.1651 0.0000  4 O 2.83-2.84
2 Sr 0.0000 0.3369 0.5000  6 O 2.49-2.53
3 Mo 0.0000 0.0000 0.5000  6 O 1.98
4 O 0.1845 0.1370 0.6662  1 Mo 1.98
5 O 0.2100 0.0000 0.3271  1 Mo 1.98